# Pm3Ag

An optimized crystal structure of Pm3Ag (PBE, Alexandria via LeMat-Bulk).

```
Pm3Ag
1.0
-2.375 2.375 5.171
2.375 -2.375 5.171
2.375 2.375 -5.171
Pm Ag
3 1
Cartesian
0.000 0.000 0.000
2.375 0.000 2.586
0.000 2.375 2.586
0.000 0.000 5.171
```

Values from the calculation:
For the formation enthalpy at 0 K, the calculation gives 19 meV per atom. As for the symmetry: I4/mmm (139). The calculation puts the energy relative to the lowest polymorph listed for this composition at 110 meV/atom. Its spin magnetization is 0.000 μB/f.u. Its electronic total energy is -4.257 eV/atom. Its density of states at the Fermi level is 5.3 states/eV/f.u.